Entry from Alexandria: a geometry-optimized LiHoRhPb structure (PBE).

Properties
- magnetization (μB per cell) = 0.0
- DFT formation energy (eV per atom) = -0.533
- total energy (eV/atom) = -4.92
- calculated volume (Å³ per cell) = 78
- DOS at the Fermi energy (states/eV/atom) = 1.1819
- space-group type = F-43m, No. 216

Cell: 4.786 4.786 4.786 Å, 60.00 60.00 60.00°
Positions (direct):
Pb: 0.250 0.250 0.250
Rh: 0.500 0.500 0.500
Ho: 0.750 0.750 0.750
Li: 0.000 0.000 0.000